# CoReSnPd, optimized geometry, DFT PBE
# - ΔE to the lowest computed polymorph (eV/atom) = 0.000
data_CoReSnPd
_chemical_formula_sum 'Co4 Re4 Sn4 Pd4'
_cell_length_a 6.265
_cell_length_b 6.265
_cell_length_c 6.265
_cell_angle_alpha 90.00
_cell_angle_beta 90.00
_cell_angle_gamma 90.00
_symmetry_space_group_name_H-M 'F -4 3 m'
_symmetry_Int_Tables_number 216
_symmetry_space_group_name_Hall 'F -4 2 3'
loop_
_atom_site_label
_atom_site_fract_x
_atom_site_fract_y
_atom_site_fract_z
Co1 0.000 0.000 0.000
Re1 0.000 0.000 0.500
Sn1 0.250 0.250 0.750
Pd1 0.250 0.250 0.250

---

# TlCoRePd, optimized geometry, DFT PBE
# - ΔE to the lowest computed polymorph (eV/atom) = 0.000
data_TlCoRePd
_chemical_formula_sum 'Tl4 Co4 Re4 Pd4'
_cell_length_a 6.339
_cell_length_b 6.339
_cell_length_c 6.339
_cell_angle_alpha 90.00
_cell_angle_beta 90.00
_cell_angle_gamma 90.00
_symmetry_space_group_name_H-M 'F -4 3 m'
_symmetry_Int_Tables_number 216
_symmetry_space_group_name_Hall 'F -4 2 3'
loop_
_atom_site_label
_atom_site_fract_x
_atom_site_fract_y
_atom_site_fract_z
Tl1 0.000 0.000 0.000
Co1 0.250 0.250 0.250
Re1 0.000 0.000 0.500
Pd1 0.250 0.250 0.750

---

# ZnCoRePd, optimized geometry, DFT PBE
# - ΔE to the lowest computed polymorph (eV/atom) = 0.000
# - formation enthalpy at 0 K (kJ per mole of atoms) = 29.2
data_ZnCoRePd
_chemical_formula_sum 'Zn4 Co4 Re4 Pd4'
_cell_length_a 6.032
_cell_length_b 6.032
_cell_length_c 6.032
_cell_angle_alpha 90.00
_cell_angle_beta 90.00
_cell_angle_gamma 90.00
_symmetry_space_group_name_H-M 'F -4 3 m'
_symmetry_Int_Tables_number 216
_symmetry_space_group_name_Hall 'F -4 2 3'
loop_
_atom_site_label
_atom_site_fract_x
_atom_site_fract_y
_atom_site_fract_z
Zn1 0.000 0.000 0.000
Co1 0.250 0.250 0.250
Re1 0.000 0.000 0.500
Pd1 0.250 0.250 0.750

---

The following is a DFT calculation (PBE) of an optimized crystal structure of Co2Pd3S4.

```
data_Co2Pd3S4
_chemical_formula_sum 'Co4 Pd6 S8'
_cell_length_a 5.326
_cell_length_b 10.794
_cell_length_c 5.439
_cell_angle_alpha 90.00
_cell_angle_beta 92.17
_cell_angle_gamma 90.00
_symmetry_space_group_name_H-M 'C 1 2/m 1'
_symmetry_Int_Tables_number 12
_symmetry_space_group_name_Hall '-C 2y'
loop_
_atom_site_label
_atom_site_fract_x
_atom_site_fract_y
_atom_site_fract_z
Co1 0.000 0.242 0.000
Pd1 0.000 0.000 0.500
Pd2 0.000 0.500 0.000
Pd3 0.000 0.500 0.500
S1 0.247 0.353 0.248
```

---

The following is a DFT calculation (PBE) of an optimized crystal structure of Co8PdS8.

```
data_Co8PdS8
_chemical_formula_sum 'Co32 Pd4 S32'
_cell_length_a 9.973
_cell_length_b 9.973
_cell_length_c 9.973
_cell_angle_alpha 90.00
_cell_angle_beta 90.00
_cell_angle_gamma 90.00
_symmetry_space_group_name_H-M 'F m -3 m'
_symmetry_Int_Tables_number 225
_symmetry_space_group_name_Hall '-F 4 2 3'
loop_
_atom_site_label
_atom_site_fract_x
_atom_site_fract_y
_atom_site_fract_z
Co1 0.127 0.127 0.127
Pd1 0.000 0.000 0.500
S1 0.000 0.000 0.251
S2 0.250 0.250 0.250
```

---

The following is a DFT calculation (PBE) of an optimized crystal structure of CoPd3S6.

```
data_CoPd3S6
_chemical_formula_sum 'Co3 Pd9 S18'
_cell_length_a 6.0979
_cell_length_b 6.0979
_cell_length_c 15.7097
_cell_angle_alpha 90.00
_cell_angle_beta 90.00
_cell_angle_gamma 120.00
_symmetry_space_group_name_H-M 'R -3'
_symmetry_Int_Tables_number 148
_symmetry_space_group_name_Hall '-R 3'
loop_
_atom_site_label
_atom_site_fract_x
_atom_site_fract_y
_atom_site_fract_z
Co1 0.0000 0.0000 0.0000
Pd1 0.0000 0.0000 0.1784
Pd2 0.0000 0.0000 0.5000
S1 0.0097 0.6894 0.0812
```

---

The following is a DFT calculation (PBE) of an optimized crystal structure of Co2PdSe12S4.

```
data_Co2PdSe12S4
_chemical_formula_sum 'Co4 Pd2 Se24 S8'
_cell_length_a 11.192
_cell_length_b 3.635
_cell_length_c 21.120
_cell_angle_alpha 90.00
_cell_angle_beta 96.52
_cell_angle_gamma 90.00
_symmetry_space_group_name_H-M 'C 1 2/m 1'
_symmetry_Int_Tables_number 12
_symmetry_space_group_name_Hall '-C 2y'
loop_
_atom_site_label
_atom_site_fract_x
_atom_site_fract_y
_atom_site_fract_z
Co1 0.068 0.000 0.281
Pd1 0.000 0.000 0.000
Se1 0.033 0.000 0.381
Se2 0.064 0.500 0.757
Se3 0.131 0.500 0.532
Se4 0.145 0.000 0.913
Se5 0.186 0.000 0.078
Se6 0.200 0.500 0.292
S1 0.000 0.500 0.147
S2 0.185 0.500 0.433
```

---

The following is a DFT calculation (PBE) of an optimized crystal structure of TlCoPdS3.

```
data_TlCoPdS3
_chemical_formula_sum 'Tl2 Co2 Pd2 S6'
_cell_length_a 7.314
_cell_length_b 3.393
_cell_length_c 10.012
_cell_angle_alpha 90.00
_cell_angle_beta 107.74
_cell_angle_gamma 90.00
_symmetry_space_group_name_H-M 'P 1 21/m 1'
_symmetry_Int_Tables_number 11
_symmetry_space_group_name_Hall '-P 2yb'
loop_
_atom_site_label
_atom_site_fract_x
_atom_site_fract_y
_atom_site_fract_z
Tl1 0.006 0.250 0.207
Co1 0.429 0.750 0.617
Pd1 0.498 0.750 0.156
S1 0.242 0.250 0.634
S2 0.300 0.250 0.022
S3 0.367 0.750 0.383
```

---

For each record above, in turn, the calculated total DFT energy (no corrections) values are -27.222, -24.342, -24.759, -47.580, -103.136, -49.126, -74.914, -28.477 eV/f.u..